{
  "formula": "BaOs2Pd2",
  "functional": "PBE-GGA",
  "state": "optimized geometry",
  "lattice": [[8.1331, 0.0000, 0.0000], [0.0000, 8.1331, 0.0000], [0.0000, 0.0000, 2.8680]],
  "species": ["Os", "Os", "Os", "Os", "Ba", "Ba", "Pd", "Pd", "Pd", "Pd"],
  "fractional_positions": [[0.3954, 0.8954, 0.0000], [0.8954, 0.6046, 0.0000], [0.6046, 0.1046, 0.0000], [0.1046, 0.3954, 0.0000], [0.0000, 0.0000, 0.0000], [0.5000, 0.5000, 0.0000], [0.1889, 0.6889, 0.5000], [0.6889, 0.8111, 0.5000], [0.8111, 0.3111, 0.5000], [0.3111, 0.1889, 0.5000]],
  "energy_ev_per_fu": -32.2,
  "e_above_lowest_polymorph_ev_per_atom": 0.0955,
  "formation_enthalpy_0k_ev_per_atom": 0.52,
  "magnetic_moment_mub_per_fu": 0.0
}



{
  "formula": "Na3PmSm2Te6",
  "functional": "PBE-GGA",
  "state": "optimized geometry",
  "lattice": [[-4.7303, 2.3143, -5.7697], [2.5781, -7.3706, 0.2192], [-5.3013, -0.2957, 5.9910]],
  "species": ["Na", "Na", "Na", "Pm", "Sm", "Sm", "Te", "Te", "Te", "Te", "Te", "Te"],
  "fractional_positions": [[0.1666, 0.8334, 0.5000], [0.8334, 0.1666, 0.5000], [0.5000, 0.5000, 0.5000], [0.0000, 0.0000, 0.0000], [0.3333, 0.6667, 0.0000], [0.6667, 0.3333, 0.0000], [0.9210, 0.5865, 0.7630], [0.7446, 0.7446, 0.2371], [0.0790, 0.4135, 0.2370], [0.5865, 0.9210, 0.7630], [0.2554, 0.2554, 0.7629], [0.4135, 0.0790, 0.2370]],
  "energy_ev_per_fu": -52.9,
  "raw_formation_energy_ev_per_atom": -1.328,
  "magnetic_moment_mub_per_fu": 0.0
}



{
  "formula": "CuTeN2F",
  "functional": "PBE-GGA",
  "state": "optimized geometry",
  "lattice": [[-0.7632, 3.6563, 2.2997], [-3.9770, 0.3165, -1.8230], [-1.5958, -2.2743, 3.0865]],
  "species": ["N", "N", "Te", "Cu", "F"],
  "fractional_positions": [[0.0000, 0.5000, 0.0000], [0.5000, 0.0000, 0.0000], [0.0000, 0.0000, 0.5000], [0.5000, 0.5000, 0.5000], [0.0000, 0.0000, 0.0000]],
  "energy_ev_per_fu": -15.6,
  "e_above_lowest_polymorph_ev_per_atom": 1.1946,
  "raw_formation_energy_ev_per_atom": 2.023,
  "magnetic_moment_mub_per_fu": 4.0
}



{
  "formula": "CuHgRh2",
  "functional": "PBE-GGA",
  "state": "optimized geometry",
  "lattice": [[-0.4759, 1.7326, -2.2141], [-2.2735, 1.0839, 1.3369], [4.4112, 5.3032, 3.2018]],
  "species": ["Cu", "Hg", "Rh", "Rh"],
  "fractional_positions": [[0.0000, 0.0000, 0.4793], [0.5000, 0.5000, 0.7436], [0.0000, 0.0000, 0.0241], [0.5000, 0.5000, 0.2529]],
  "energy_ev_per_fu": -18.5,
  "formation_enthalpy_0k_ev_per_atom": 0.15,
  "magnetic_moment_mub_per_fu": 0.4
}



{
  "formula": "Cs2CuPd3F12",
  "functional": "PBE-GGA",
  "state": "optimized geometry",
  "lattice": [[7.6332, 0.0118, 0.0084], [3.7799, 6.6316, 0.0084], [3.7799, 2.2002, 6.2559]],
  "species": ["Cs", "Cs", "Cu", "Pd", "Pd", "Pd", "F", "F", "F", "F", "F", "F", "F", "F", "F", "F", "F", "F"],
  "fractional_positions": [[0.6329, 0.6329, 0.6329], [0.3671, 0.3671, 0.3671], [0.0000, 0.0000, 0.0000], [0.5000, 0.0000, 0.0000], [0.0000, 0.5000, 0.0000], [0.0000, 0.0000, 0.5000], [0.3294, 0.3294, 0.9300], [0.9348, 0.9348, 0.3095], [0.3095, 0.9348, 0.9348], [0.9300, 0.3294, 0.3294], [0.9348, 0.3095, 0.9348], [0.3294, 0.9300, 0.3294], [0.6706, 0.6706, 0.0700], [0.0652, 0.0652, 0.6905], [0.6905, 0.0652, 0.0652], [0.0700, 0.6706, 0.6706], [0.0652, 0.6905, 0.0652], [0.6706, 0.0700, 0.6706]],
  "energy_ev_per_fu": -74.5,
  "raw_formation_energy_ev_per_atom": -1.703,
  "magnetic_moment_mub_per_fu": 3.0
}



{
  "formula": "YSb2Os",
  "functional": "PBE-GGA",
  "state": "optimized geometry",
  "lattice": [[4.2464, -0.0874, 0.0965], [2.1482, 3.6640, 0.0965], [2.0830, 1.1650, 6.0191]],
  "species": ["Os", "Sb", "Sb", "Y"],
  "fractional_positions": [[0.2500, 0.2500, 0.2500], [0.9808, 0.9808, 0.0571], [0.5192, 0.5192, 0.4429], [0.7500, 0.7500, 0.7500]],
  "energy_ev_per_fu": -26.9,
  "e_above_lowest_polymorph_ev_per_atom": 0.0716,
  "raw_formation_energy_ev_per_atom": -0.236,
  "magnetic_moment_mub_per_fu": 0.0
}



{
  "formula": "RhAuBr2",
  "functional": "PBE-GGA",
  "state": "optimized geometry",
  "lattice": [[-1.5279, 3.2386, 0.0697], [-1.6029, -2.9951, 1.1376], [3.0790, 1.2863, 7.7245]],
  "species": ["Rh", "Au", "Br", "Br"],
  "fractional_positions": [[0.5000, 0.5000, 0.2500], [0.5000, 0.5000, 0.7500], [0.0000, 0.0000, 0.0283], [0.0000, 0.0000, 0.4717]],
  "energy_ev_per_fu": -12.4,
  "e_above_lowest_polymorph_ev_per_atom": 0.3569,
  "raw_formation_energy_ev_per_atom": 0.382,
  "magnetic_moment_mub_per_fu": 0.0
}



{
  "formula": "BaYCr",
  "functional": "PBE-GGA",
  "state": "optimized geometry",
  "lattice": [[7.2489, -0.0308, 0.0335], [6.2256, 3.7137, 0.0147], [1.0233, 0.2987, 3.7326]],
  "species": ["Ba", "Cr", "Y"],
  "fractional_positions": [[0.9817, 0.9817, 0.0183], [0.3121, 0.3121, 0.6879], [0.7063, 0.7063, 0.2937]],
  "energy_ev_per_fu": -16.5,
  "e_above_lowest_polymorph_ev_per_atom": 0.0000,
  "formation_enthalpy_0k_ev_per_atom": 0.50,
  "magnetic_moment_mub_per_fu": 3.7
}